Crystalline UTl2B2O6 at its relaxed geometry, computed with PBE-GGA.

Values from the calculation:
Formation energy (no corrections): -2181 meV/atom
Energy: -83.1 eV/f.u.
Calculated volume: 16.2 A^3/atom

```
UTl2B2O6
1.0
-3.601 2.133 3.649
-0.032 -1.807 5.251
3.242 4.813 4.612
O U Tl B
6 1 2 2
Direct
0.312 0.745 0.198
0.745 0.312 0.198
0.688 0.255 0.802
0.255 0.255 0.802
0.255 0.688 0.802
0.745 0.745 0.198
0.000 0.000 0.000
0.215 0.215 0.356
0.785 0.785 0.644
0.399 0.399 0.803
0.601 0.601 0.197
```

***

Crystalline TlInTe2 at its relaxed geometry, computed with PBE-GGA.

Values from the calculation:
Formation energy (no corrections): -56 meV/atom
Energy: -11.6 eV/f.u.
Calculated volume: 31.1 A^3/atom

```
TlInTe2
1.0
6.556 0.017 -0.023
2.796 5.930 0.023
-3.902 -4.191 3.193
Tl In Te
1 1 2
Direct
0.496 0.496 0.000
0.231 0.731 0.500
0.772 0.272 0.500
0.002 0.002 0.000
```

***

- What is the formation energy (no corrections) in the second record?
  -56 meV/atom

***

- energy of number 2 (TlInTe2)?
  -11.6 eV/f.u.